Below is crystalline SnHg2H2 at its relaxed geometry, with properties calculated at the GGA-PBE level.

Values from the calculation:
- energy above the most stable polymorph in this dataset (eV/atom) = 0.173
- calculated volume (Å³ per cell) = 181
- total magnetization (Bohr magnetons per cell) = 0.000
- final energy (eV for the cell shown) = -18.6

```
SnHg2H2
1.0
6.6779 0.0000 0.0000
0.0000 6.6779 0.0000
0.0000 0.0000 4.0678
Sn Hg H
2 4 4
Direct
0.0000 0.0000 0.0000
0.5000 0.5000 0.0000
0.1578 0.3422 0.5000
0.3422 0.8422 0.5000
0.6578 0.1578 0.5000
0.8422 0.6578 0.5000
0.1795 0.3205 0.0000
0.3205 0.8205 0.0000
0.6795 0.1795 0.0000
0.8205 0.6795 0.0000
```